# 1
TePt3O8 (PBE-GGA, optimized geometry); energy = -5.61 eV/atom; symmetry = P6_3mc, No. 186; crystal system = hexagonal; volume = 13.45 Å³ per atom; formation energy from raw total energies = -0.53 eV per atom; M_tot = 0.00 μB/f.u.
1.0
6.326 0.000 0.000
-3.163 5.478 0.000
0.000 0.000 9.313
Te Pt O
2 6 16
Cartesian
0.000 3.652 0.000
3.163 1.826 4.657
0.000 1.827 6.638
-1.581 4.565 6.638
1.582 0.913 1.982
1.581 4.565 6.638
4.744 0.913 1.982
3.163 3.652 1.982
0.000 0.000 2.924
0.000 0.000 7.580
-1.361 2.867 7.796
0.000 1.634 0.896
-1.748 4.661 0.896
1.415 0.817 5.553
0.000 3.652 5.687
1.361 2.867 7.796
0.000 5.224 7.796
3.163 0.255 3.139
1.802 2.612 3.139
3.163 1.826 1.031
1.748 4.661 0.896
4.911 0.817 5.553
3.163 3.844 5.553
4.524 2.612 3.139



# 2
TePt3O (PBE-GGA, optimized geometry); energy = -4.74 eV/atom; symmetry = Pm-3m, No. 221; crystal system = cubic; volume = 16.91 Å³ per atom; formation energy from raw total energies = 0.51 eV per atom; energy above the lowest structure with this stoichiometry = 0.0 meV/atom; M_tot = 0.00 μB/f.u.
1.0
4.389 0.000 0.000
0.000 4.389 0.000
0.000 0.000 4.389
Te Pt O
1 3 1
Cartesian
0.000 0.000 0.000
0.000 2.195 2.195
2.195 0.000 2.195
2.195 2.195 0.000
2.195 2.195 2.195



# 3
TePt3O (PBE-GGA, optimized geometry); energy = -3.75 eV/atom; symmetry = Pm-3m, No. 221; crystal system = cubic; volume = 24.37 Å³ per atom; formation energy from raw total energies = 1.49 eV per atom; energy above the lowest structure with this stoichiometry = 988.2 meV/atom; M_tot = 0.00 μB/f.u.
1.0
4.958 0.000 0.000
0.000 4.958 0.000
0.000 0.000 4.958
Te Pt O
1 3 1
Cartesian
0.000 0.000 0.000
0.000 0.000 2.479
0.000 2.479 0.000
2.479 0.000 0.000
2.479 2.479 2.479